VASP calculation (PBE) on an optimized crystal structure of CeHfSc14.

Cell: 6.6280 6.6280 10.3659 Å, 90.00 90.00 120.14°
With the nearest neighbours (Å) after each atom.
Fractional coordinates of all 16 atoms:
1 Ce 0.8347 0.1653 0.0000  10 Sc 3.23-3.33, 2 Hf 3.31
2 Hf 0.3365 0.6635 0.0000  10 Sc 3.20-3.36, 2 Ce 3.31
3 Sc 0.3323 0.6677 0.5000  12 Sc 3.21-3.32
4 Sc 0.8326 0.1674 0.5000  12 Sc 3.18-3.32
5 Sc 0.8305 0.6659 0.0000  8 Sc 3.20-3.33, 2 Hf 3.27-3.36, 2 Ce 3.30-3.33
6 Sc 0.8339 0.6675 0.5000  12 Sc 3.18-3.32
7 Sc 0.3341 0.1695 0.0000  8 Sc 3.20-3.33, 2 Hf 3.27-3.36, 2 Ce 3.30-3.33
8 Sc 0.3325 0.1661 0.5000  12 Sc 3.18-3.32
9 Sc 0.6644 0.8327 0.7490  10 Sc 3.21-3.34, 1 Hf 3.21, 1 Ce 3.23
10 Sc 0.6644 0.8327 0.2510  10 Sc 3.21-3.34, 1 Hf 3.21, 1 Ce 3.23
11 Sc 0.1673 0.3356 0.7490  10 Sc 3.21-3.34, 1 Hf 3.21, 1 Ce 3.23
12 Sc 0.1673 0.3356 0.2510  10 Sc 3.21-3.34, 1 Hf 3.21, 1 Ce 3.23
13 Sc 0.1682 0.8318 0.7540  1 Hf 3.20, 11 Sc 3.20-3.34
14 Sc 0.1682 0.8318 0.2460  1 Hf 3.20, 11 Sc 3.20-3.34
15 Sc 0.6666 0.3334 0.7451  11 Sc 3.18-3.32, 1 Ce 3.27
16 Sc 0.6666 0.3334 0.2549  11 Sc 3.18-3.32, 1 Ce 3.27

Computed properties:
As for the space group: No. 38. The calculation puts the total energy at -104.24 eV per cell. The formation energy comes out at 0.018 eV/atom. As for the total moment: 0.807 Bohr magnetons per cell.